A PBEsol-optimized structure of ZnReSeN2. Source: Alexandria, functional meta-GGA SCAN.

Cell: 3.7887 3.7887 4.9279 Å, 90.00 90.00 90.00°
With the nearest neighbours (Å) after each atom.
Atoms (fractional coordinates):
Zn 0.0000 0.0000 0.0000  4 N 1.89
Re 0.5000 0.5000 0.5000  4 Se 2.68
N 0.0000 0.5000 0.0000  2 Zn 1.89
N 0.5000 0.0000 0.0000  2 Zn 1.89
Se 0.0000 0.0000 0.5000  2 Zn 2.46, 4 Re 2.68

DOS at the Fermi energy in states/eV per cell: 1.98
Uncorrected formation energy in eV per atom: 1.979

=====

A PBEsol-optimized structure of Sr2TaCr. Source: Alexandria, functional meta-GGA SCAN.

Cell: 3.2495 3.2495 10.1339 Å, 90.00 90.00 90.00°
With the nearest neighbours (Å) after each atom.
Atoms (fractional coordinates):
Ta 0.5000 0.5000 0.0000  4 Ta 3.25, 8 Sr 3.39
Sr 0.0000 0.0000 0.2460  4 Sr 3.25, 4 Ta 3.39, 4 Cr 3.45
Sr 0.0000 0.0000 0.7540  4 Sr 3.25, 4 Ta 3.39, 4 Cr 3.45
Cr 0.5000 0.5000 0.5000  4 Cr 3.25, 8 Sr 3.45

DOS at the Fermi energy in states/eV per cell: 3.87
Energy of formation in eV/atom: 1.0236

=====

A PBEsol-optimized structure of Ni5SnB2O10. Source: Alexandria, functional meta-GGA SCAN.

Cell: 6.0862 9.2115 12.1997 Å, 90.00 90.00 90.00°
With the nearest neighbours (Å) after each atom.
Atoms (fractional coordinates):
O 0.7500 0.3702 0.3586  1 B 1.38
O 0.7500 0.6415 0.2341  1 B 1.40
O 0.9949 0.6052 0.8570  3 Ni 1.93-2.00, 1 Sn 2.02
O 0.0090 0.8935 0.9219  4 Ni 1.99-2.15, 1 Sn 2.08
O 0.2500 0.6478 0.0444  1 B 1.41
O 0.5090 0.6065 0.4219  4 Ni 1.99-2.15, 1 Sn 2.08
O 0.2500 0.1498 0.2594  1 B 1.38
O 0.0090 0.3935 0.5781  4 Ni 1.99-2.15, 1 Sn 2.08
O 0.7500 0.8502 0.7406  1 B 1.38
O 0.7500 0.1237 0.8591  1 B 1.39
O 0.9910 0.6065 0.4219  4 Ni 1.99-2.15, 1 Sn 2.08
O 0.2500 0.1298 0.8586  1 B 1.38
O 0.2500 0.8763 0.1409  1 B 1.39
O 0.2500 0.8547 0.5385  1 B 1.38
O 0.2500 0.1478 0.4556  1 B 1.41
O 0.2500 0.6298 0.6414  1 B 1.38
O 0.2500 0.3585 0.7659  1 B 1.40
O 0.7500 0.3522 0.9556  1 B 1.41
O 0.4910 0.8935 0.9219  4 Ni 1.99-2.15, 1 Sn 2.08
O 0.2500 0.8585 0.7341  1 B 1.40
O 0.4949 0.8948 0.3570  3 Ni 1.93-2.00, 1 Sn 2.02
O 0.0051 0.8948 0.3570  3 Ni 1.93-2.00, 1 Sn 2.02
O 0.2500 0.3547 0.9615  1 B 1.38
O 0.4949 0.3948 0.1430  3 Ni 1.93-2.00, 1 Sn 2.02
O 0.7500 0.1415 0.2659  1 B 1.40
O 0.7500 0.1453 0.4615  1 B 1.38
O 0.2500 0.6498 0.2406  1 B 1.38
O 0.9910 0.1065 0.0781  4 Ni 1.99-2.15, 1 Sn 2.08
O 0.7500 0.8702 0.1414  1 B 1.38
O 0.7500 0.6237 0.6409  1 B 1.39
O 0.7500 0.3502 0.7594  1 B 1.38
O 0.7500 0.6453 0.0385  1 B 1.38
O 0.5090 0.1065 0.0781  4 Ni 1.99-2.15, 1 Sn 2.08
O 0.5051 0.1052 0.6430  3 Ni 1.93-2.00, 1 Sn 2.02
O 0.4910 0.3935 0.5781  4 Ni 1.99-2.15, 1 Sn 2.08
O 0.5051 0.6052 0.8570  3 Ni 1.93-2.00, 1 Sn 2.02
O 0.9949 0.1052 0.6430  3 Ni 1.93-2.00, 1 Sn 2.02
O 0.0051 0.3948 0.1430  3 Ni 1.93-2.00, 1 Sn 2.02
O 0.2500 0.3763 0.3591  1 B 1.39
O 0.7500 0.8522 0.5444  1 B 1.41
Ni 0.2500 0.5097 0.4986  6 O 2.04-2.10
Ni 0.2500 0.2585 0.1125  6 O 1.98-2.15
Ni 0.9940 0.0043 0.7819  6 O 1.93-2.15
Ni 0.0060 0.4957 0.2819  6 O 1.93-2.15
Ni 0.9940 0.5043 0.7181  6 O 1.93-2.15
Ni 0.7500 0.4903 0.5014  6 O 2.04-2.10
Ni 0.4940 0.9957 0.2181  6 O 1.93-2.15
Ni 0.5000 0.0000 0.5000  6 O 2.00-2.11
Ni 0.7500 0.2415 0.6125  6 O 1.98-2.15
Ni 0.0000 0.5000 0.0000  6 O 2.00-2.11
Ni 0.7500 0.9903 0.9986  6 O 2.04-2.10
Ni 0.0000 0.0000 0.5000  6 O 2.00-2.11
Ni 0.2500 0.0097 0.0014  6 O 2.04-2.10
Ni 0.2500 0.7585 0.3875  6 O 1.98-2.15
Ni 0.5000 0.5000 0.0000  6 O 2.00-2.11
Ni 0.0060 0.9957 0.2181  6 O 1.93-2.15
Ni 0.4940 0.4957 0.2819  6 O 1.93-2.15
Ni 0.7500 0.7415 0.8875  6 O 1.98-2.15
Ni 0.5060 0.0043 0.7819  6 O 1.93-2.15
Ni 0.5060 0.5043 0.7181  6 O 1.93-2.15
B 0.7500 0.7207 0.1359  3 O 1.38-1.40
B 0.7500 0.2740 0.8566  3 O 1.38-1.41
B 0.2500 0.2793 0.8641  3 O 1.38-1.40
B 0.7500 0.7740 0.6434  3 O 1.38-1.41
B 0.2500 0.2260 0.3566  3 O 1.38-1.41
B 0.2500 0.7793 0.6359  3 O 1.38-1.40
B 0.2500 0.7260 0.1434  3 O 1.38-1.41
B 0.7500 0.2207 0.3641  3 O 1.38-1.40
Sn 0.7500 0.7584 0.3837  6 O 2.02-2.14
Sn 0.2500 0.2416 0.6163  6 O 2.02-2.14
Sn 0.7500 0.2584 0.1163  6 O 2.02-2.14
Sn 0.2500 0.7416 0.8837  6 O 2.02-2.14

DOS at the Fermi energy in states/eV per cell: 0.00
Uncorrected formation energy in eV per atom: -1.792